Entry 1:
# MnSiOs2 PBE-GGA optimized geometry
data_MnSiOs2
_space_group_name_H-M_alt 'P 4/m m m'
_space_group_IT_number 123
_space_group_name_Hall '-P 4 2'
_cell_length_a 4.204
_cell_length_b 4.204
_cell_length_c 2.973
_cell_angle_alpha 90.00
_cell_angle_beta 90.00
_cell_angle_gamma 90.00
loop_
_atom_site_label
_atom_site_type_symbol
_atom_site_fract_x
_atom_site_fract_y
_atom_site_fract_z
Mn1 Mn 0.000 0.000 0.000
Si1 Si 0.500 0.500 0.000
Os1 Os 0.000 0.500 0.500
# - uncorrected formation energy (eV/atom) = -0.22

Entry 2:
# Tl3Hg8Bi3 PBE-GGA optimized geometry
data_Tl3Hg8Bi3
_space_group_name_H-M_alt 'I m m m'
_space_group_IT_number 71
_space_group_name_Hall '-I 2 2'
_cell_length_a 4.688
_cell_length_b 12.221
_cell_length_c 14.851
_cell_angle_alpha 90.00
_cell_angle_beta 90.00
_cell_angle_gamma 90.00
loop_
_atom_site_label
_atom_site_type_symbol
_atom_site_fract_x
_atom_site_fract_y
_atom_site_fract_z
Tl1 Tl 0.000 0.000 0.000
Tl2 Tl 0.000 0.288 0.000
Hg1 Hg 0.000 0.154 0.265
Hg2 Hg 0.000 0.369 0.378
Bi1 Bi 0.000 0.000 0.500
Bi2 Bi 0.000 0.500 0.156
# - energy of formation (kJ/mol of formula units) = 38

Entry 3:
# Er3GeSe PBE-GGA optimized geometry
data_Er3GeSe
_space_group_name_H-M_alt 'C 1 2/c 1'
_space_group_IT_number 15
_space_group_name_Hall '-C 2yc'
_cell_length_a 13.593
_cell_length_b 10.904
_cell_length_c 7.166
_cell_angle_alpha 90.00
_cell_angle_beta 91.27
_cell_angle_gamma 90.00
loop_
_atom_site_label
_atom_site_type_symbol
_atom_site_fract_x
_atom_site_fract_y
_atom_site_fract_z
Er1 Er 0.104 0.057 0.081
Er2 Er 0.110 0.261 0.439
Er3 Er 0.121 0.386 0.932
Ge1 Ge 0.000 0.166 0.750
Ge2 Ge 0.000 0.441 0.250
Se1 Se 0.247 0.425 0.611
# - uncorrected formation energy (eV/atom) = -0.97

Entry 4:
# SrIO2F PBE-GGA optimized geometry
data_SrIO2F
_space_group_name_H-M_alt 'P 4/m m m'
_space_group_IT_number 123
_space_group_name_Hall '-P 4 2'
_cell_length_a 4.196
_cell_length_b 4.196
_cell_length_c 5.495
_cell_angle_alpha 90.00
_cell_angle_beta 90.00
_cell_angle_gamma 90.00
loop_
_atom_site_label
_atom_site_type_symbol
_atom_site_fract_x
_atom_site_fract_y
_atom_site_fract_z
Sr1 Sr 0.000 0.000 0.000
I1 I 0.500 0.500 0.500
O1 O 0.000 0.500 0.500
F1 F 0.500 0.500 0.000
# - uncorrected formation energy (eV/atom) = -1.26

Entry 5:
# Dy2TmScBi4 PBE-GGA optimized geometry
data_Dy2TmScBi4
_space_group_name_H-M_alt 'P 1 2/m 1'
_space_group_IT_number 10
_space_group_name_Hall '-P 2y'
_cell_length_a 7.645
_cell_length_b 4.419
_cell_length_c 7.650
_cell_angle_alpha 90.00
_cell_angle_beta 109.48
_cell_angle_gamma 90.00
loop_
_atom_site_label
_atom_site_type_symbol
_atom_site_fract_x
_atom_site_fract_y
_atom_site_fract_z
Dy1 Dy 0.000 0.000 0.000
Dy2 Dy 0.000 0.500 0.500
Tm1 Tm 0.500 0.000 0.500
Sc1 Sc 0.500 0.500 0.000
Bi1 Bi 0.257 0.500 0.247
Bi2 Bi 0.261 0.000 0.758
# - energy of formation (kJ/mol of formula units) = -605

Entry 6:
# Ni2As2Os PBE-GGA optimized geometry
data_Ni2As2Os
_space_group_name_H-M_alt 'P 4/m b m'
_space_group_IT_number 127
_space_group_name_Hall '-P 4 2ab'
_cell_length_a 6.582
_cell_length_b 6.582
_cell_length_c 3.175
_cell_angle_alpha 90.00
_cell_angle_beta 90.00
_cell_angle_gamma 90.00
loop_
_atom_site_label
_atom_site_type_symbol
_atom_site_fract_x
_atom_site_fract_y
_atom_site_fract_z
Ni1 Ni 0.136 0.364 0.000
As1 As 0.157 0.657 0.500
Os1 Os 0.000 0.000 0.500
# - energy of formation (kJ/mol of formula units) = 55
# - offset from the most stable computed form (meV/atom) = 0

Entry 7:
# Mn2IrAu PBE-GGA optimized geometry
data_Mn2IrAu
_space_group_name_H-M_alt 'R 3 m'
_space_group_IT_number 160
_space_group_name_Hall 'R 3 -2"'
_cell_length_a 2.7672
_cell_length_b 2.7672
_cell_length_c 26.5159
_cell_angle_alpha 90.00
_cell_angle_beta 90.00
_cell_angle_gamma 120.00
loop_
_atom_site_label
_atom_site_type_symbol
_atom_site_fract_x
_atom_site_fract_y
_atom_site_fract_z
Mn1 Mn 0.0000 0.0000 0.0000
Mn2 Mn 0.0000 0.0000 0.2588
Ir1 Ir 0.0000 0.0000 0.5148
Au1 Au 0.0000 0.0000 0.7534
# - energy of formation (kJ/mol of formula units) = 69
# - offset from the most stable computed form (meV/atom) = 218

Uncorrected energy in eV/atom, matching the order above: -9.487, -1.483, -5.325, -4.260, -5.225, -6.305, -7.442
Spin magnetization in μB/f.u., matching the order above: 2.967, 0.000, 0.000, 0.000, 0.000, 0.000, 0.419